# 1
Compound: SrEu2Rh
Source: Alexandria via LeMat-Bulk
Functional: PBE-GGA
Structure: relaxed

Results
relative energy among the computed polymorphs: 0.0 meV/atom
calculated formation energy: -0.188 eV per atom
density of states at the Fermi level: 14.77 states/eV/cell
crystal system: tetragonal
magnetic moment: 14.4 μB/f.u.

Unit cell a=3.671 b=3.671 c=9.950 alpha=90.00 beta=90.00 gamma=90.00
Atoms (fractional coordinates):
Eu 0.000 0.000 0.833
Eu 0.000 0.000 0.167
Rh 0.500 0.500 0.000
Sr 0.500 0.500 0.500

# 2
Compound: TaVHg2
Source: Alexandria via LeMat-Bulk
Functional: PBE-GGA
Structure: relaxed

Results
relative energy among the computed polymorphs: 0.0 meV/atom
calculated formation energy: 0.583 eV per atom
density of states at the Fermi level: 4.07 states/eV/cell
crystal system: cubic
magnetic moment: 2.4 μB/f.u.

Unit cell a=4.731 b=4.731 c=4.731 alpha=60.00 beta=60.00 gamma=60.00
Atoms (fractional coordinates):
V 0.000 0.000 0.000
Hg 0.250 0.250 0.250
Hg 0.750 0.750 0.750
Ta 0.500 0.500 0.500

# 3
Compound: Dy3InCo
Source: Alexandria via LeMat-Bulk
Functional: PBE-GGA
Structure: relaxed

Results
relative energy among the computed polymorphs: 80.8 meV/atom
calculated formation energy: -0.190 eV per atom
density of states at the Fermi level: 5.90 states/eV/cell
crystal system: cubic
magnetic moment: 0.0 μB/f.u.

Unit cell a=5.135 b=5.135 c=5.135 alpha=90.00 beta=90.00 gamma=90.00
Atoms (fractional coordinates):
Dy 0.000 0.000 0.500
Dy 0.500 0.000 0.000
Dy 0.000 0.500 0.000
In 0.500 0.500 0.500
Co 0.000 0.000 0.000

# 4
Compound: Mn2TlSe
Source: Alexandria via LeMat-Bulk
Functional: PBE-GGA
Structure: relaxed

Results
formation energy without anion corrections: 63 kJ per mole of atoms
relative energy among the computed polymorphs: 534.2 meV/atom
density of states at the Fermi level: 4.59 states/eV/cell
crystal system: cubic
magnetic moment: 8.1 μB/f.u.

Unit cell a=4.890 b=4.890 c=4.890 alpha=60.00 beta=60.00 gamma=60.00
Atoms (fractional coordinates):
Mn 0.000 0.000 0.000
Mn 0.250 0.250 0.250
Tl 0.750 0.750 0.750
Se 0.500 0.500 0.500

# 5
Compound: Ti4C2N
Source: Alexandria via LeMat-Bulk
Functional: PBE-GGA
Structure: relaxed

Results
formation energy without anion corrections: -95 kJ per mole of atoms
relative energy among the computed polymorphs: 0.0 meV/atom
density of states at the Fermi level: 3.35 states/eV/cell
crystal system: monoclinic
magnetic moment: 0.0 μB/f.u.

Unit cell a=3.055 b=5.241 c=5.838 alpha=116.70 beta=105.17 gamma=90.00
Atoms (fractional coordinates):
Ti 0.130 0.811 0.260
Ti 0.870 0.189 0.740
Ti 0.369 0.715 0.739
Ti 0.631 0.285 0.261
N 0.000 0.000 0.000
C 0.735 0.738 0.471
C 0.265 0.262 0.529

# 6
Compound: ZrVSn2
Source: Alexandria via LeMat-Bulk
Functional: PBE-GGA
Structure: relaxed

Results
relative energy among the computed polymorphs: 102.4 meV/atom
calculated formation energy: 0.142 eV per atom
density of states at the Fermi level: 9.05 states/eV/cell
crystal system: tetragonal
magnetic moment: 1.3 μB/f.u.

Unit cell a=7.680 b=7.680 c=6.211 alpha=51.82 beta=51.82 gamma=90.00
Atoms (fractional coordinates):
Sn 0.375 0.398 0.750
Sn 0.602 0.125 0.250
Sn 0.875 0.852 0.750
Sn 0.148 0.625 0.250
V 0.500 0.500 0.000
V 0.250 0.750 0.500
Zr 0.750 0.250 0.500
Zr 0.000 0.000 0.000

# 7
Compound: Li3ZnRh2
Source: Alexandria via LeMat-Bulk
Functional: PBE-GGA
Structure: relaxed

Results
relative energy among the computed polymorphs: 44.9 meV/atom
calculated formation energy: -0.210 eV per atom
density of states at the Fermi level: 7.48 states/eV/cell
crystal system: monoclinic
magnetic moment: 0.4 μB/f.u.

Unit cell a=4.940 b=4.940 c=6.740 alpha=82.96 beta=82.96 gamma=96.48
Atoms (fractional coordinates):
Li 0.658 0.830 0.001
Li 0.571 0.429 0.250
Li 0.170 0.342 0.499
Li 0.342 0.170 0.999
Li 0.830 0.658 0.501
Li 0.429 0.571 0.750
Rh 0.364 0.888 0.375
Rh 0.112 0.636 0.125
Rh 0.888 0.364 0.875
Rh 0.636 0.112 0.625
Zn 0.910 0.090 0.250
Zn 0.090 0.910 0.750

# 8
Compound: CaCuIr2
Source: Alexandria via LeMat-Bulk
Functional: PBE-GGA
Structure: relaxed

Results
relative energy among the computed polymorphs: 340.7 meV/atom
calculated formation energy: 0.364 eV per atom
density of states at the Fermi level: 3.68 states/eV/cell
crystal system: cubic
magnetic moment: 0.0 μB/f.u.

Unit cell a=4.506 b=4.506 c=4.506 alpha=60.00 beta=60.00 gamma=60.00
Atoms (fractional coordinates):
Cu 0.500 0.500 0.500
Ca 0.000 0.000 0.000
Ir 0.250 0.250 0.250
Ir 0.750 0.750 0.750